# Er4MgHg5

A relaxed structure of Er4MgHg5 (PBE, Alexandria).

Output
**Spin magnetization**: 0.000 μB/f.u.
**Energy of formation from the pure elements**: -0.4384 eV/atom

a b c (Å): 3.656 3.656 18.206
angles (deg): 90.00 90.00 90.00
Fractional positions:
Er 0.000 0.000 0.192
Er 0.000 0.000 0.397
Er 0.000 0.000 0.603
Er 0.000 0.000 0.808
Mg 0.000 0.000 0.000
Hg 0.500 0.500 0.092
Hg 0.500 0.500 0.296
Hg 0.500 0.500 0.500
Hg 0.500 0.500 0.704
Hg 0.500 0.500 0.908